Material: TlCdNiF6
Method: DFT, GGA+U
State: relaxed

Lattice parameters (Å, degrees): 5.679 5.679 9.916 90.00 90.00 120.00
Site moments in Bohr magnetons follow the coordinates.
Sites, in units of the cell vectors:
Tl1 0.000 0.000 0.000  -0.20
Tl2 0.000 0.000 0.500  -0.20
Cd1 0.333 0.667 0.250  0.00
Cd2 0.667 0.333 0.750  0.00
Ni1 0.667 0.333 0.250  1.81
Ni2 0.333 0.667 0.750  1.81
F1 0.661 0.629 0.137  -0.01
F2 0.969 0.339 0.137  -0.01
F3 0.339 0.969 0.637  -0.01
F4 0.031 0.661 0.863  -0.01
F5 0.371 0.339 0.363  -0.01
F6 0.969 0.629 0.363  -0.01
F7 0.629 0.969 0.863  -0.01
F8 0.661 0.031 0.363  -0.01
F9 0.031 0.371 0.637  -0.01
F10 0.371 0.031 0.137  -0.01
F11 0.629 0.661 0.637  -0.01
F12 0.339 0.371 0.863  -0.01

Calculated values
Total moment, μB/f.u.: 1.50
Crystal system: trigonal
Electronic total energy, eV/atom: -3.9004
Mass density, g/cm³: 5.9